DFT (PBE) results for an optimized crystal structure of LiMnP2.

Unit cell a=3.5677 b=3.5677 c=6.2503 alpha=90.00 beta=90.00 gamma=120.00
Space group P3m1 (No. 156)
Unique sites:
Li  0.0000  0.0000  0.0000 x1
Mn  0.6667  0.3333  0.6263 x1
P  0.3333  0.6667  0.7289 x1
P  0.6667  0.3333  0.2926 x1

Properties
Formation energy ... -0.0357 eV/atom
Total DFT energy (no corrections) ... -22.0 eV/cell
E above lowest polymorph ... 0.352 eV per atom